Record 1
Here is a relaxed structure of BaCaCo2 from Alexandria via LeMat-Bulk. Energies are from PBE-GGA.

Output
Calculated formation energy = 0.259 eV/atom
ΔE to the lowest computed polymorph = 123 meV per atom
DOS(E_F) = 10.068 states/eV/cell

Structure (CIF):
```
data_BaCaCo2
_cell_length_a 4.0066
_cell_length_b 4.5121
_cell_length_c 11.7236
_cell_angle_alpha 90.00
_cell_angle_beta 90.00
_cell_angle_gamma 90.00
_symmetry_space_group_name_H-M 'A m m 2'
_symmetry_Int_Tables_number 38
_symmetry_space_group_name_Hall 'A 2 -2'
loop_
_atom_site_label
_atom_site_fract_x
_atom_site_fract_y
_atom_site_fract_z
Ba1 0.0000 0.0000 0.0000
Ca1 0.5000 0.0000 0.2728
Co1 0.0000 0.0000 0.7022
Co2 0.5000 0.0000 0.6195
```

Record 2
Here is a relaxed structure of Mn4RhAu from Alexandria via LeMat-Bulk. Energies are from PBE-GGA.

Output
Calculated formation energy = 0.187 eV/atom
DOS(E_F) = 29.446 states/eV/cell

Structure (CIF):
```
data_Mn4RhAu
_cell_length_a 6.7566
_cell_length_b 6.7566
_cell_length_c 6.7566
_cell_angle_alpha 90.00
_cell_angle_beta 90.00
_cell_angle_gamma 90.00
_symmetry_space_group_name_H-M 'F -4 3 m'
_symmetry_Int_Tables_number 216
_symmetry_space_group_name_Hall 'F -4 2 3'
loop_
_atom_site_label
_atom_site_fract_x
_atom_site_fract_y
_atom_site_fract_z
Mn1 0.1252 0.1252 0.1252
Rh1 0.2500 0.2500 0.7500
Au1 0.0000 0.0000 0.5000
```

Record 3
Here is a relaxed structure of Sc2GeBr from Alexandria via LeMat-Bulk. Energies are from PBE-GGA.

Output
ΔE to the lowest computed polymorph = 601 meV per atom
DOS(E_F) = 10.673 states/eV/cell
Formation energy (no corrections) = -0.235 eV/atom

Structure (CIF):
```
data_Sc2GeBr
_cell_length_a 3.3442
_cell_length_b 3.3442
_cell_length_c 29.2674
_cell_angle_alpha 90.00
_cell_angle_beta 90.00
_cell_angle_gamma 120.00
_symmetry_space_group_name_H-M 'R -3 m'
_symmetry_Int_Tables_number 166
_symmetry_space_group_name_Hall '-R 3 2"'
loop_
_atom_site_label
_atom_site_fract_x
_atom_site_fract_y
_atom_site_fract_z
Sc1 0.0000 0.0000 0.0917
Ge1 0.0000 0.0000 0.0000
Br1 0.0000 0.0000 0.5000
```

Record 4
Here is a relaxed structure of Sc5Ge2Sb from Alexandria via LeMat-Bulk. Energies are from PBE-GGA.

Output
ΔE to the lowest computed polymorph = 335 meV per atom
DOS(E_F) = 15.843 states/eV/cell
Formation energy (no corrections) = -0.462 eV/atom

Structure (CIF):
```
data_Sc5Ge2Sb
_cell_length_a 6.6804
_cell_length_b 6.6804
_cell_length_c 7.4750
_cell_angle_alpha 90.00
_cell_angle_beta 90.00
_cell_angle_gamma 90.00
_symmetry_space_group_name_H-M 'I 4 m m'
_symmetry_Int_Tables_number 107
_symmetry_space_group_name_Hall 'I 4 -2'
loop_
_atom_site_label
_atom_site_fract_x
_atom_site_fract_y
_atom_site_fract_z
Sc1 0.0000 0.0000 0.0000
Sc2 0.2289 0.2289 0.6986
Ge1 0.0000 0.5000 0.4641
Sb1 0.0000 0.0000 0.3949
```

Record 5
Here is a relaxed structure of TaTi3Al from Alexandria via LeMat-Bulk. Energies are from PBE-GGA.

Output
Calculated formation energy = -0.088 eV/atom
ΔE to the lowest computed polymorph = 0 meV per atom
DOS(E_F) = 24.211 states/eV/cell

Structure (CIF):
```
data_TaTi3Al
_cell_length_a 4.6194
_cell_length_b 16.1358
_cell_length_c 4.5987
_cell_angle_alpha 90.00
_cell_angle_beta 90.00
_cell_angle_gamma 90.00
_symmetry_space_group_name_H-M 'C m c m'
_symmetry_Int_Tables_number 63
_symmetry_space_group_name_Hall '-C 2c 2'
loop_
_atom_site_label
_atom_site_fract_x
_atom_site_fract_y
_atom_site_fract_z
Ta1 0.0000 0.2422 0.2500
Ti1 0.0000 0.0494 0.2500
Ti2 0.0000 0.1514 0.7500
Ti3 0.0000 0.3454 0.7500
Al1 0.0000 0.4490 0.2500
```

Record 6
Here is a relaxed structure of La2SN from Alexandria via LeMat-Bulk. Energies are from PBE-GGA.

Output
ΔE to the lowest computed polymorph = 77 meV per atom
DOS(E_F) = 7.186 states/eV/cell
Formation energy (no corrections) = -1.687 eV/atom

Structure (CIF):
```
data_La2SN
_cell_length_a 3.8321
_cell_length_b 3.8321
_cell_length_c 20.6761
_cell_angle_alpha 90.00
_cell_angle_beta 90.00
_cell_angle_gamma 120.00
_symmetry_space_group_name_H-M 'R 3 m'
_symmetry_Int_Tables_number 160
_symmetry_space_group_name_Hall 'R 3 -2"'
loop_
_atom_site_label
_atom_site_fract_x
_atom_site_fract_y
_atom_site_fract_z
La1 0.0000 0.0000 0.0000
La2 0.0000 0.0000 0.1947
S1 0.0000 0.0000 0.7647
N1 0.0000 0.0000 0.5959
```

Record 7
Here is a relaxed structure of PrSm2DyTm from Alexandria via LeMat-Bulk. Energies are from PBE-GGA.

Output
Calculated formation energy = 0.284 eV/atom
DOS(E_F) = 8.014 states/eV/cell

Structure (CIF):
```
data_PrSm2DyTm
_cell_length_a 3.6629
_cell_length_b 5.6010
_cell_length_c 8.5769
_cell_angle_alpha 90.00
_cell_angle_beta 90.05
_cell_angle_gamma 90.00
_symmetry_space_group_name_H-M 'P 1 2/m 1'
_symmetry_Int_Tables_number 10
_symmetry_space_group_name_Hall '-P 2y'
loop_
_atom_site_label
_atom_site_fract_x
_atom_site_fract_y
_atom_site_fract_z
Pr1 0.0000 0.0000 0.0000
Sm1 0.0012 0.5000 0.3216
Dy1 0.5000 0.5000 0.0000
Tm1 0.5000 0.0000 0.5000
```

Record 8
Here is a relaxed structure of Li2Cu3Pd8 from Alexandria via LeMat-Bulk. Energies are from PBE-GGA.

Output
Calculated formation energy = -0.027 eV/atom
ΔE to the lowest computed polymorph = 44 meV per atom
DOS(E_F) = 28.799 states/eV/cell

Structure (CIF):
```
data_Li2Cu3Pd8
_cell_length_a 11.5144
_cell_length_b 7.1374
_cell_length_c 4.9137
_cell_angle_alpha 90.00
_cell_angle_beta 99.21
_cell_angle_gamma 90.00
_symmetry_space_group_name_H-M 'C 1 2/m 1'
_symmetry_Int_Tables_number 12
_symmetry_space_group_name_Hall '-C 2y'
loop_
_atom_site_label
_atom_site_fract_x
_atom_site_fract_y
_atom_site_fract_z
Li1 0.2043 0.0000 0.2604
Cu1 0.0000 0.0000 0.0000
Cu2 0.0000 0.1733 0.5000
Pd1 0.1029 0.5000 0.4292
Pd2 0.1169 0.3128 0.9555
Pd3 0.1897 0.0000 0.7496
```

Record 9
Here is a relaxed structure of Rh2W from Alexandria via LeMat-Bulk. Energies are from PBE-GGA.

Output
Calculated formation energy = 0.671 eV/atom
DOS(E_F) = 11.344 states/eV/cell

Structure (CIF):
```
data_Rh2W
_cell_length_a 5.9931
_cell_length_b 5.9931
_cell_length_c 5.9931
_cell_angle_alpha 90.00
_cell_angle_beta 90.00
_cell_angle_gamma 90.00
_symmetry_space_group_name_H-M 'P a -3'
_symmetry_Int_Tables_number 205
_symmetry_space_group_name_Hall '-P 2ac 2ab 3'
loop_
_atom_site_label
_atom_site_fract_x
_atom_site_fract_y
_atom_site_fract_z
Rh1 0.1250 0.1250 0.1250
W1 0.0000 0.0000 0.5000
```

Record 10
Here is a relaxed structure of CsLaSc2 from Alexandria via LeMat-Bulk. Energies are from PBE-GGA.

Output
Calculated formation energy = 0.763 eV/atom
ΔE to the lowest computed polymorph = 321 meV per atom
DOS(E_F) = 36.476 states/eV/cell

Structure (CIF):
```
data_CsLaSc2
_cell_length_a 8.2043
_cell_length_b 8.2043
_cell_length_c 8.2043
_cell_angle_alpha 90.00
_cell_angle_beta 90.00
_cell_angle_gamma 90.00
_symmetry_space_group_name_H-M 'F m -3 m'
_symmetry_Int_Tables_number 225
_symmetry_space_group_name_Hall '-F 4 2 3'
loop_
_atom_site_label
_atom_site_fract_x
_atom_site_fract_y
_atom_site_fract_z
Cs1 0.0000 0.0000 0.0000
La1 0.0000 0.0000 0.5000
Sc1 0.2500 0.2500 0.2500
```

Record 11
Here is a relaxed structure of BaMn2Rh from Alexandria via LeMat-Bulk. Energies are from PBE-GGA.

Output
Calculated formation energy = 0.650 eV/atom
DOS(E_F) = 2.777 states/eV/cell

Structure (CIF):
```
data_BaMn2Rh
_cell_length_a 4.2072
_cell_length_b 4.2180
_cell_length_c 4.7242
_cell_angle_alpha 90.00
_cell_angle_beta 90.00
_cell_angle_gamma 90.00
_symmetry_space_group_name_H-M 'P m m m'
_symmetry_Int_Tables_number 47
_symmetry_space_group_name_Hall '-P 2 2'
loop_
_atom_site_label
_atom_site_fract_x
_atom_site_fract_y
_atom_site_fract_z
Ba1 0.0000 0.0000 0.0000
Mn1 0.0000 0.5000 0.5000
Mn2 0.5000 0.0000 0.5000
Rh1 0.5000 0.5000 0.0000
```

Record 12
Here is a relaxed structure of EuSiPd from Alexandria via LeMat-Bulk. Energies are from PBE-GGA.

Output
DOS(E_F) = 8.521 states/eV/cell
Formation energy (no corrections) = -0.751 eV/atom

Structure (CIF):
```
data_EuSiPd
_cell_length_a 4.2479
_cell_length_b 4.2479
_cell_length_c 4.2040
_cell_angle_alpha 90.00
_cell_angle_beta 90.00
_cell_angle_gamma 120.00
_symmetry_space_group_name_H-M 'P -6 m 2'
_symmetry_Int_Tables_number 187
_symmetry_space_group_name_Hall 'P -6 2'
loop_
_atom_site_label
_atom_site_fract_x
_atom_site_fract_y
_atom_site_fract_z
Eu1 0.0000 0.0000 0.0000
Si1 0.3333 0.6667 0.5000
Pd1 0.6667 0.3333 0.5000
```

Record 13
Here is a relaxed structure of AsP2Cl from Alexandria via LeMat-Bulk. Energies are from PBE-GGA.

Output
ΔE to the lowest computed polymorph = 413 meV per atom
DOS(E_F) = 2.397 states/eV/cell
Formation energy (no corrections) = 0.416 eV/atom

Structure (CIF):
```
data_AsP2Cl
_cell_length_a 3.4179
_cell_length_b 3.4179
_cell_length_c 6.6797
_cell_angle_alpha 90.00
_cell_angle_beta 90.00
_cell_angle_gamma 90.00
_symmetry_space_group_name_H-M 'P 4/m m m'
_symmetry_Int_Tables_number 123
_symmetry_space_group_name_Hall '-P 4 2'
loop_
_atom_site_label
_atom_site_fract_x
_atom_site_fract_y
_atom_site_fract_z
As1 0.0000 0.0000 0.0000
P1 0.5000 0.5000 0.1733
Cl1 0.0000 0.0000 0.5000
```

Record 14
Here is a relaxed structure of Zn7Pt3Au from Alexandria via LeMat-Bulk. Energies are from PBE-GGA.

Output
Calculated formation energy = -0.222 eV/atom
DOS(E_F) = 9.377 states/eV/cell

Structure (CIF):
```
data_Zn7Pt3Au
_cell_length_a 2.7912
_cell_length_b 34.8885
_cell_length_c 9.8301
_cell_angle_alpha 90.00
_cell_angle_beta 90.00
_cell_angle_gamma 90.00
_symmetry_space_group_name_H-M 'C m c m'
_symmetry_Int_Tables_number 63
_symmetry_space_group_name_Hall '-C 2c 2'
loop_
_atom_site_label
_atom_site_fract_x
_atom_site_fract_y
_atom_site_fract_z
Zn1 0.0000 0.0340 0.0374
Zn2 0.0000 0.0985 0.7500
Zn3 0.0000 0.1421 0.0974
Zn4 0.0000 0.2305 0.0848
Pt1 0.0000 0.3116 0.7500
Pt2 0.0000 0.4067 0.0344
Au1 0.0000 0.4321 0.7500
```

Record 15
Here is a relaxed structure of SrAlAs2 from Alexandria via LeMat-Bulk. Energies are from PBE-GGA.

Output
Calculated formation energy = -0.349 eV/atom
DOS(E_F) = 0.802 states/eV/cell

Structure (CIF):
```
data_SrAlAs2
_cell_length_a 3.3455
_cell_length_b 4.1164
_cell_length_c 7.8898
_cell_angle_alpha 90.00
_cell_angle_beta 90.00
_cell_angle_gamma 90.00
_symmetry_space_group_name_H-M 'P m m 2'
_symmetry_Int_Tables_number 25
_symmetry_space_group_name_Hall 'P 2 -2'
loop_
_atom_site_label
_atom_site_fract_x
_atom_site_fract_y
_atom_site_fract_z
Sr1 0.0000 0.0000 0.0000
Al1 0.5000 0.5000 0.5091
As1 0.0000 0.0000 0.3989
As2 0.5000 0.5000 0.8180
```

Record 16
Here is a relaxed structure of Tb2Dy3Ho from Alexandria via LeMat-Bulk. Energies are from PBE-GGA.

Output
Calculated formation energy = 0.002 eV/atom
ΔE to the lowest computed polymorph = 0 meV per atom
DOS(E_F) = 28.453 states/eV/cell

Structure (CIF):
```
data_Tb2Dy3Ho
_cell_length_a 10.6578
_cell_length_b 6.1503
_cell_length_c 11.4438
_cell_angle_alpha 90.00
_cell_angle_beta 90.00
_cell_angle_gamma 90.00
_symmetry_space_group_name_H-M 'C m c m'
_symmetry_Int_Tables_number 63
_symmetry_space_group_name_Hall '-C 2c 2'
loop_
_atom_site_label
_atom_site_fract_x
_atom_site_fract_y
_atom_site_fract_z
Tb1 0.1668 0.1660 0.2500
Dy1 0.0000 0.0000 0.0000
Dy2 0.1663 0.5000 0.0000
Ho1 0.0000 0.3336 0.7500
```

Record 17
Here is a relaxed structure of Hf6CuRh5 from Alexandria via LeMat-Bulk. Energies are from PBE-GGA.

Output
Calculated formation energy = -0.745 eV/atom
DOS(E_F) = 20.265 states/eV/cell

Structure (CIF):
```
data_Hf6CuRh5
_cell_length_a 4.6040
_cell_length_b 6.5908
_cell_length_c 13.8109
_cell_angle_alpha 90.00
_cell_angle_beta 90.00
_cell_angle_gamma 90.00
_symmetry_space_group_name_H-M 'I m m m'
_symmetry_Int_Tables_number 71
_symmetry_space_group_name_Hall '-I 2 2'
loop_
_atom_site_label
_atom_site_fract_x
_atom_site_fract_y
_atom_site_fract_z
Hf1 0.0000 0.2485 0.0000
Hf2 0.0000 0.2508 0.3344
Cu1 0.0000 0.5000 0.5000
Rh1 0.0000 0.0000 0.1694
Rh2 0.0000 0.0000 0.5000
Rh3 0.0000 0.5000 0.1674
```

Record 18
Here is a relaxed structure of As3Cl from Alexandria via LeMat-Bulk. Energies are from PBE-GGA.

Output
ΔE to the lowest computed polymorph = 639 meV per atom
DOS(E_F) = 4.890 states/eV/cell
Formation energy (no corrections) = 0.646 eV/atom

Structure (CIF):
```
data_As3Cl
_cell_length_a 4.2927
_cell_length_b 4.2927
_cell_length_c 4.2927
_cell_angle_alpha 90.00
_cell_angle_beta 90.00
_cell_angle_gamma 90.00
_symmetry_space_group_name_H-M 'P m -3 m'
_symmetry_Int_Tables_number 221
_symmetry_space_group_name_Hall '-P 4 2 3'
loop_
_atom_site_label
_atom_site_fract_x
_atom_site_fract_y
_atom_site_fract_z
As1 0.0000 0.0000 0.5000
Cl1 0.5000 0.5000 0.5000
```

Record 19
Here is a relaxed structure of Eu2PbAu from Alexandria via LeMat-Bulk. Energies are from PBE-GGA.

Output
Calculated formation energy = -0.523 eV/atom
DOS(E_F) = 44.715 states/eV/cell

Structure (CIF):
```
data_Eu2PbAu
_cell_length_a 4.0997
_cell_length_b 4.0997
_cell_length_c 26.8181
_cell_angle_alpha 90.00
_cell_angle_beta 90.00
_cell_angle_gamma 120.00
_symmetry_space_group_name_H-M 'R -3 m'
_symmetry_Int_Tables_number 166
_symmetry_space_group_name_Hall '-R 3 2"'
loop_
_atom_site_label
_atom_site_fract_x
_atom_site_fract_y
_atom_site_fract_z
Eu1 0.0000 0.0000 0.2409
Pb1 0.0000 0.0000 0.0000
Au1 0.0000 0.0000 0.5000
```

Record 20
Here is a relaxed structure of LaAg2As from Alexandria via LeMat-Bulk. Energies are from PBE-GGA.

Output
Calculated formation energy = -0.442 eV/atom
DOS(E_F) = 1.375 states/eV/cell

Structure (CIF):
```
data_LaAg2As
_cell_length_a 5.9445
_cell_length_b 6.1784
_cell_length_c 5.3207
_cell_angle_alpha 90.00
_cell_angle_beta 90.00
_cell_angle_gamma 90.00
_symmetry_space_group_name_H-M 'C m m m'
_symmetry_Int_Tables_number 65
_symmetry_space_group_name_Hall '-C 2 2'
loop_
_atom_site_label
_atom_site_fract_x
_atom_site_fract_y
_atom_site_fract_z
La1 0.0000 0.0000 0.0000
Ag1 0.0000 0.2756 0.5000
As1 0.0000 0.5000 0.0000
```

Number 1: magnetic moment 1.9 μB per formula unit. Number 2: magnetic moment 6.1 μB per formula unit. Number 3: magnetic moment 0.0 μB per formula unit. Number 4: magnetic moment 0.0 μB per formula unit. Number 5: magnetic moment 1.1 μB per formula unit. Number 6: magnetic moment 0.1 μB per formula unit. Number 7: magnetic moment 0.0 μB per formula unit. Number 8: magnetic moment 0.0 μB per formula unit. Number 9: magnetic moment 0.0 μB per formula unit. Number 10: magnetic moment 0.0 μB per formula unit. Number 11: magnetic moment 8.3 μB per formula unit. Number 12: magnetic moment 6.9 μB per formula unit. Number 13: magnetic moment 0.0 μB per formula unit. Number 14: magnetic moment 0.0 μB per formula unit. Number 15: magnetic moment 0.0 μB per formula unit. Number 16: magnetic moment 0.0 μB per formula unit. Number 17: magnetic moment 0.0 μB per formula unit. Number 18: magnetic moment 0.0 μB per formula unit. Number 19: magnetic moment 14.5 μB per formula unit. Number 20: magnetic moment 0.0 μB per formula unit.